Version w
Here is a geometry-optimized Sm4Ga2C structure from Alexandria via LeMat-Bulk. Energies are from PBE-GGA.

abc: 8.042 8.042 8.042
angles: 143.41 143.41 52.71
Fractional coordinates of all 7 atoms:
1 Sm 0.000 0.500 0.500
2 Sm 0.174 0.174 0.000
3 Sm 0.500 0.000 0.500
4 Sm 0.826 0.826 0.000
5 Ga 0.379 0.379 0.000
6 Ga 0.621 0.621 0.000
7 C 0.000 0.000 0.000

Version x
Here is a geometry-optimized Sm4Ga2C structure from Alexandria via LeMat-Bulk. Energies are from PBE-GGA.

abc: 7.855 12.654 3.703
angles: 90.00 90.00 90.00
Fractional coordinates of all 14 atoms:
1 Sm 0.120 0.187 0.000
2 Sm 0.211 0.950 0.500
3 Sm 0.289 0.450 0.500
4 Sm 0.380 0.687 0.000
5 Sm 0.620 0.313 0.000
6 Sm 0.711 0.550 0.500
7 Sm 0.789 0.050 0.500
8 Sm 0.880 0.813 0.000
9 Ga 0.077 0.665 0.500
10 Ga 0.423 0.165 0.500
11 Ga 0.577 0.835 0.500
12 Ga 0.923 0.335 0.500
13 C 0.000 0.000 0.000
14 C 0.500 0.500 0.000

Version y
Here is a geometry-optimized Sm4Ga2C structure from Alexandria via LeMat-Bulk. Energies are from PBE-GGA.

abc: 6.435 6.435 8.768
angles: 121.86 121.86 34.39
Fractional coordinates of all 7 atoms:
1 Sm 0.085 0.085 0.337
2 Sm 0.343 0.343 0.939
3 Sm 0.657 0.657 0.061
4 Sm 0.915 0.915 0.663
5 Ga 0.379 0.379 0.346
6 Ga 0.621 0.621 0.654
7 C 0.000 0.000 0.000

Order from most stable to least stable according to the calculation: version y, version w, version x

Version w
Here is a geometry-optimized GaSnC structure from Alexandria via LeMat-Bulk. Energies are from PBE-GGA.

abc: 3.435 3.435 5.166
angles: 90.00 90.00 120.00
Fractional coordinates of all 3 atoms:
1 Ga 0.000 0.000 0.000
2 Sn 0.667 0.333 0.500
3 C 0.667 0.333 0.999

Version x
Here is a geometry-optimized GaSnC structure from Alexandria via LeMat-Bulk. Energies are from PBE-GGA.

abc: 3.412 6.357 5.384
angles: 90.00 90.00 90.00
Fractional coordinates of all 6 atoms:
1 Ga 0.000 0.032 0.000
2 Ga 0.500 0.968 0.500
3 Sn 0.000 0.552 0.714
4 Sn 0.500 0.448 0.214
5 C 0.000 0.898 0.669
6 C 0.500 0.102 0.169

Order from most stable to least stable according to the calculation: version x, version w

Version w
Here is a geometry-optimized GaSnC structure from Alexandria via LeMat-Bulk. Energies are from PBE-GGA.

abc: 3.388 3.388 5.979
angles: 106.24 106.24 59.95
Fractional coordinates of all 3 atoms:
1 Ga 0.000 0.000 0.000
2 Sn 0.182 0.182 0.542
3 C 0.312 0.312 0.936

Version x
Here is a geometry-optimized GaSnC structure from Alexandria via LeMat-Bulk. Energies are from PBE-GGA.

abc: 6.081 3.164 6.534
angles: 90.00 107.33 90.00
Fractional coordinates of all 6 atoms:
1 Ga 0.174 0.000 0.425
2 Ga 0.826 0.000 0.575
3 Sn 0.224 0.000 0.939
4 Sn 0.776 0.000 0.061
5 C 0.388 0.500 0.477
6 C 0.612 0.500 0.523

Version y
Here is a geometry-optimized GaSnC structure from Alexandria via LeMat-Bulk. Energies are from PBE-GGA.

abc: 5.548 3.320 6.130
angles: 90.00 100.95 90.00
Fractional coordinates of all 6 atoms:
1 Ga 0.018 0.000 0.203
2 Ga 0.982 0.000 0.797
3 Sn 0.469 0.500 0.747
4 Sn 0.531 0.500 0.253
5 C 0.027 0.500 0.618
6 C 0.973 0.500 0.382

Order from most stable to least stable according to the calculation: version x, version y, version w

Version w
Here is a geometry-optimized GaSnC structure from Alexandria via LeMat-Bulk. Energies are from PBE-GGA.

abc: 3.204 5.090 6.807
angles: 88.70 77.24 84.00
Fractional coordinates of all 6 atoms:
1 Ga 0.024 0.322 0.358
2 Ga 0.976 0.678 0.642
3 Sn 0.230 0.226 0.873
4 Sn 0.770 0.774 0.127
5 C 0.457 0.941 0.594
6 C 0.543 0.059 0.406

Version x
Here is a geometry-optimized GaSnC structure from Alexandria via LeMat-Bulk. Energies are from PBE-GGA.

abc: 3.343 6.023 6.048
angles: 106.13 90.05 105.15
Fractional coordinates of all 6 atoms:
1 Ga 0.004 0.005 0.298
2 Ga 0.996 0.995 0.702
3 Sn 0.261 0.523 0.747
4 Sn 0.739 0.477 0.253
5 C 0.480 0.959 0.878
6 C 0.520 0.041 0.122

Order from most stable to least stable according to the calculation: version x, version w